(1)
The following is a meta-GGA SCAN calculation of BaSc2Mo at its PBEsol-relaxed geometry, from the Alexandria database.

Density of states at the Fermi level: 1.152 states/eV/atom
Calculated density: 5.8 g/cm3
Energy relative to the elements: 882.2 meV per atom

Cell: 7.196 7.196 7.196 Å, 90.00 90.00 90.00°
Space group F-43m (No. 216)
One atom of each set of equivalent atoms:
Ba 0.000 0.000 0.000 x4
Sc 0.000 0.000 0.500 x4
Sc 0.250 0.250 0.250 x4
Mo 0.250 0.250 0.750 x4

(2)
The following is a meta-GGA SCAN calculation of BaSc2Mo at its PBEsol-relaxed geometry, from the Alexandria database.

Density of states at the Fermi level: 0.903 states/eV/atom
Calculated density: 5.0 g/cm3
Energy relative to the elements: 492.0 meV per atom

Cell: 3.643 3.643 8.042 Å, 90.00 90.00 90.00°
Space group P4mm (No. 99)
One atom of each set of equivalent atoms:
Ba 0.000 0.000 0.000 x1
Sc 0.000 0.000 0.414 x1
Sc 0.500 0.500 0.627 x1
Mo 0.500 0.500 0.293 x1